Entry from Alexandria: Rb3Na2BiF9 after structural relaxation (PBE).

CIF file:
```
data_Rb3Na2BiF9
_symmetry_space_group_name_H-M 'P -3 m 1'
_symmetry_Int_Tables_number 164
_symmetry_space_group_name_Hall '-P 3 2"'
_cell_length_a 6.3479
_cell_length_b 6.3479
_cell_length_c 8.0824
_cell_angle_alpha 90.00
_cell_angle_beta 90.00
_cell_angle_gamma 120.00
loop_
_atom_site_label
_atom_site_type_symbol
_atom_site_fract_x
_atom_site_fract_y
_atom_site_fract_z
_atom_site_occupancy
Rb1 Rb 0.0000 0.0000 0.0000 1
Rb2 Rb 0.3333 0.6667 0.7402 1
Na1 Na 0.3333 0.6667 0.1593 1
Bi1 Bi 0.0000 0.0000 0.5000 1
F1 F 0.0000 0.5000 0.0000 1
F2 F 0.1596 0.3191 0.3400 1
```

Output
As for the uncorrected formation energy: -2.55 eV per atom.

=====

Entry from Alexandria: K3OsN2 after structural relaxation (PBE).

CIF file:
```
data_K3OsN2
_symmetry_space_group_name_H-M 'C m c m'
_symmetry_Int_Tables_number 63
_symmetry_space_group_name_Hall '-C 2c 2'
_cell_length_a 10.278
_cell_length_b 8.131
_cell_length_c 6.374
_cell_angle_alpha 90.00
_cell_angle_beta 90.00
_cell_angle_gamma 90.00
loop_
_atom_site_label
_atom_site_type_symbol
_atom_site_fract_x
_atom_site_fract_y
_atom_site_fract_z
_atom_site_occupancy
K1 K 0.000 0.230 0.250 1
K2 K 0.220 0.000 0.000 1
Os1 Os 0.000 0.365 0.750 1
N1 N 0.000 0.143 0.750 1
N2 N 0.000 0.500 0.000 1
```

Output
As for the uncorrected formation energy: 0.09 eV per atom.

=====

Entry from Alexandria: K4Tm3PaS8 after structural relaxation (PBE).

CIF file:
```
data_K4Tm3PaS8
_symmetry_space_group_name_H-M 'R -3 m'
_symmetry_Int_Tables_number 166
_symmetry_space_group_name_Hall '-R 3 2"'
_cell_length_a 8.0269
_cell_length_b 8.0269
_cell_length_c 22.1360
_cell_angle_alpha 90.00
_cell_angle_beta 90.00
_cell_angle_gamma 120.00
loop_
_atom_site_label
_atom_site_type_symbol
_atom_site_fract_x
_atom_site_fract_y
_atom_site_fract_z
_atom_site_occupancy
K1 K 0.0000 0.0000 0.0000 1
K2 K 0.0000 0.5000 0.0000 1
Tm1 Tm 0.0000 0.5000 0.5000 1
Pa1 Pa 0.0000 0.0000 0.5000 1
S1 S 0.0000 0.0000 0.2331 1
S2 S 0.0031 0.5015 0.7659 1
```

Output
As for the uncorrected formation energy: -1.76 eV per atom.

=====

Entry from Alexandria: Cu2Te3O8 after structural relaxation (PBE).

CIF file:
```
data_Cu2Te3O8
_symmetry_space_group_name_H-M 'C 1 2/c 1'
_symmetry_Int_Tables_number 15
_cell_length_a 11.920
_cell_length_b 5.377
_cell_length_c 12.491
_cell_angle_alpha 90.00
_cell_angle_beta 100.12
_cell_angle_gamma 90.00
loop_
_symmetry_equiv_pos_as_xyz
'x,y,z'
'-x,-y,-z'
'-x,y,-z+1/2'
'x,-y,z+1/2'
'x+1/2,y+1/2,z'
'-x+1/2,-y+1/2,-z'
'-x+1/2,y+1/2,-z+1/2'
'x+1/2,-y+1/2,z+1/2'
loop_
_atom_site_label
_atom_site_type_symbol
_atom_site_fract_x
_atom_site_fract_y
_atom_site_fract_z
_atom_site_occupancy
Cu1 Cu 0.233 0.232 0.342 1
Te1 Te 0.000 0.130 0.750 1
Te2 Te 0.135 0.214 0.055 1
O1 O 0.086 0.093 0.352 1
O2 O 0.119 0.098 0.643 1
O3 O 0.189 0.408 0.181 1
O4 O 0.222 0.459 0.952 1
```

Output
As for the uncorrected formation energy: -0.85 eV per atom.

=====

Entry from Alexandria: NaZrPO2 after structural relaxation (PBE).

CIF file:
```
data_NaZrPO2
_symmetry_space_group_name_H-M 'P 4/m m m'
_symmetry_Int_Tables_number 123
_symmetry_space_group_name_Hall '-P 4 2'
_cell_length_a 3.996
_cell_length_b 3.996
_cell_length_c 4.546
_cell_angle_alpha 90.00
_cell_angle_beta 90.00
_cell_angle_gamma 90.00
loop_
_atom_site_label
_atom_site_type_symbol
_atom_site_fract_x
_atom_site_fract_y
_atom_site_fract_z
_atom_site_occupancy
Na1 Na 0.000 0.000 0.000 1
Zr1 Zr 0.500 0.500 0.500 1
P1 P 0.000 0.000 0.500 1
O1 O 0.000 0.500 0.000 1
```

Output
As for the uncorrected formation energy: -0.01 eV per atom. The offset from the most stable computed form comes out at 1395 meV per atom.

=====

Entry from Alexandria: YAl after structural relaxation (PBE).

CIF file:
```
data_YAl
_symmetry_space_group_name_H-M 'P 63/m m c'
_symmetry_Int_Tables_number 194
_symmetry_space_group_name_Hall '-P 6c 2c'
_cell_length_a 5.2433
_cell_length_b 5.2433
_cell_length_c 5.9496
_cell_angle_alpha 90.00
_cell_angle_beta 90.00
_cell_angle_gamma 120.00
loop_
_atom_site_label
_atom_site_type_symbol
_atom_site_fract_x
_atom_site_fract_y
_atom_site_fract_z
_atom_site_occupancy
Y1 Y 0.3333 0.6667 0.2500 1
Al1 Al 0.3333 0.6667 0.7500 1
```

Output
The formation energy comes out at 0.524 eV per atom.

=====

Entry from Alexandria: PuHRh2 after structural relaxation (PBE).

CIF file:
```
data_PuHRh2
_symmetry_space_group_name_H-M 'R -3 m'
_symmetry_Int_Tables_number 166
_symmetry_space_group_name_Hall '-R 3 2"'
_cell_length_a 2.9115
_cell_length_b 2.9115
_cell_length_c 22.0987
_cell_angle_alpha 90.00
_cell_angle_beta 90.00
_cell_angle_gamma 120.00
loop_
_atom_site_label
_atom_site_type_symbol
_atom_site_fract_x
_atom_site_fract_y
_atom_site_fract_z
_atom_site_occupancy
Pu1 Pu 0.0000 0.0000 0.0000 1
H1 H 0.0000 0.0000 0.5000 1
Rh1 Rh 0.0000 0.0000 0.1117 1
```

=====

Entry from Alexandria: GdSnRuRh after structural relaxation (PBE).

CIF file:
```
data_GdSnRuRh
_symmetry_space_group_name_H-M 'F -4 3 m'
_symmetry_Int_Tables_number 216
_symmetry_space_group_name_Hall 'F -4 2 3'
_cell_length_a 6.655
_cell_length_b 6.655
_cell_length_c 6.655
_cell_angle_alpha 90.00
_cell_angle_beta 90.00
_cell_angle_gamma 90.00
loop_
_atom_site_label
_atom_site_type_symbol
_atom_site_fract_x
_atom_site_fract_y
_atom_site_fract_z
_atom_site_occupancy
Gd1 Gd 0.000 0.000 0.000 1
Sn1 Sn 0.000 0.000 0.500 1
Ru1 Ru 0.250 0.250 0.750 1
Rh1 Rh 0.250 0.250 0.250 1
```

Output
The formation energy comes out at -0.567 eV per atom.

=====

Entry from Alexandria: LiHgIr2 after structural relaxation (PBE).

CIF file:
```
data_LiHgIr2
_symmetry_space_group_name_H-M 'I m m m'
_symmetry_Int_Tables_number 71
_symmetry_space_group_name_Hall '-I 2 2'
_cell_length_a 2.861
_cell_length_b 4.480
_cell_length_c 9.438
_cell_angle_alpha 90.00
_cell_angle_beta 90.00
_cell_angle_gamma 90.00
loop_
_atom_site_label
_atom_site_type_symbol
_atom_site_fract_x
_atom_site_fract_y
_atom_site_fract_z
_atom_site_occupancy
Li1 Li 0.000 0.000 0.000 1
Hg1 Hg 0.000 0.000 0.500 1
Ir1 Ir 0.000 0.500 0.273 1
```

Output
The formation energy comes out at 0.133 eV per atom.

=====

Entry from Alexandria: NaHoAgSn after structural relaxation (PBE).

CIF file:
```
data_NaHoAgSn
_symmetry_space_group_name_H-M 'F -4 3 m'
_symmetry_Int_Tables_number 216
_symmetry_space_group_name_Hall 'F -4 2 3'
_cell_length_a 7.288
_cell_length_b 7.288
_cell_length_c 7.288
_cell_angle_alpha 90.00
_cell_angle_beta 90.00
_cell_angle_gamma 90.00
loop_
_atom_site_label
_atom_site_type_symbol
_atom_site_fract_x
_atom_site_fract_y
_atom_site_fract_z
_atom_site_occupancy
Na1 Na 0.000 0.000 0.000 1
Ho1 Ho 0.000 0.000 0.500 1
Ag1 Ag 0.250 0.250 0.250 1
Sn1 Sn 0.250 0.250 0.750 1
```

Output
The formation energy comes out at -0.312 eV per atom.

=====

Entry from Alexandria: La2Ho3Mg after structural relaxation (PBE).

CIF file:
```
data_La2Ho3Mg
_symmetry_space_group_name_H-M 'C 1 2/c 1'
_symmetry_Int_Tables_number 15
_cell_length_a 10.010
_cell_length_b 11.833
_cell_length_c 6.574
_cell_angle_alpha 90.00
_cell_angle_beta 90.08
_cell_angle_gamma 90.00
loop_
_symmetry_equiv_pos_as_xyz
'x,y,z'
'-x,-y,-z'
'-x,y,-z+1/2'
'x,-y,z+1/2'
'x+1/2,y+1/2,z'
'-x+1/2,-y+1/2,-z'
'-x+1/2,y+1/2,-z+1/2'
'x+1/2,-y+1/2,z+1/2'
loop_
_atom_site_label
_atom_site_type_symbol
_atom_site_fract_x
_atom_site_fract_y
_atom_site_fract_z
_atom_site_occupancy
La1 La 0.155 0.239 0.249 1
Ho1 Ho 0.000 0.048 0.750 1
Ho2 Ho 0.188 0.499 0.500 1
Mg1 Mg 0.000 0.315 0.750 1
```

Output
The formation energy comes out at 0.120 eV per atom.

=====

Entry from Alexandria: BaTcAu2 after structural relaxation (PBE).

CIF file:
```
data_BaTcAu2
_symmetry_space_group_name_H-M 'I m m 2'
_symmetry_Int_Tables_number 44
_cell_length_a 3.603
_cell_length_b 5.123
_cell_length_c 10.297
_cell_angle_alpha 90.00
_cell_angle_beta 90.00
_cell_angle_gamma 90.00
loop_
_symmetry_equiv_pos_as_xyz
'x,y,z'
'-x,-y,z'
'-x,y,z'
'x,-y,z'
'x+1/2,y+1/2,z+1/2'
'-x+1/2,-y+1/2,z+1/2'
'-x+1/2,y+1/2,z+1/2'
'x+1/2,-y+1/2,z+1/2'
loop_
_atom_site_label
_atom_site_type_symbol
_atom_site_fract_x
_atom_site_fract_y
_atom_site_fract_z
_atom_site_occupancy
Ba1 Ba 0.000 0.000 0.000 1
Tc1 Tc 0.000 0.500 0.777 1
Au1 Au 0.000 0.000 0.490 1
Au2 Au 0.000 0.500 0.223 1
```

Output
The offset from the most stable computed form comes out at 385 meV per atom. The formation energy comes out at 0.434 eV per atom.

=====

| no. | total energy (eV per cell) |
| --- | --- |
| 1 | -64.4 |
| 2 | -122.5 |
| 3 | -265.3 |
| 4 | -273.5 |
| 5 | -25.3 |
| 6 | -18.3 |
| 7 | -96.5 |
| 8 | -147.9 |
| 9 | -38.8 |
| 10 | -56.0 |
| 11 | -97.8 |
| 12 | -34.2 |